Material: Ac2Ru
Method: DFT, GGA-PBE
State: relaxed

The space group is Fm-3m (No. 225) and the conventional cell measures 7.360, 7.360 and 7.360 Å, with angles of 90.00, 90.00 and 90.00 degrees. The inequivalent atoms are Ac at (0.250, 0.250, 0.250) and Ru at (0.000, 0.000, 0.000).

The calculation puts the raw total energy at -5.896 eV/atom. The calculation puts the energy of formation from the pure elements at -0.066 eV per atom. Its density of states at the Fermi level is 9.0 states/eV/cell.

---

Material: AgHgMo2
Method: DFT, GGA-PBE
State: relaxed

The space group is C2/m (No. 12) and the conventional cell measures 10.127, 2.935 and 4.749 Å, with angles of 90.00, 100.44 and 90.00 degrees. The inequivalent atoms are Ag at (0.000, 0.000, 0.000), Hg at (0.000, 0.500, 0.500) and Mo at (0.250, 0.000, 0.755).

The calculation puts the raw total energy at -5.627 eV/atom. The calculation puts the energy of formation from the pure elements at 0.577 eV per atom. Its density of states at the Fermi level is 5.6 states/eV/cell.

---

Material: KBeW2
Method: DFT, GGA-PBE
State: relaxed

The space group is Immm (No. 71) and the conventional cell measures 2.614, 4.930 and 11.041 Å, with angles of 90.00, 90.00 and 90.00 degrees. The inequivalent atoms are K at (0.000, 0.000, 0.000), Be at (0.000, 0.000, 0.500) and W at (0.000, 0.500, 0.206).

The calculation puts the raw total energy at -6.671 eV/atom. The calculation puts the energy of formation from the pure elements at 1.011 eV per atom. Its density of states at the Fermi level is 5.6 states/eV/cell.

---

energy of formation from the pure elements of number 3 (KBeW2)?
1.011 eV per atom

---

Among the records above, which one has the highest raw total energy?
AgHgMo2

---

Which of these has the highest raw total energy?
AgHgMo2